# 1
First-principles (PBE-GGA) data for a relaxed structure of Ta2AlCl, as listed in Alexandria via LeMat-Bulk.

Density of states at the Fermi level (states/eV per cell): 3.4
E_form (uncorrected) (meV/atom): 569
Uncorrected energy (eV per atom): -6.75

Lattice parameters (Å, degrees): 10.097 10.097 10.097 157.40 157.40 32.17
Atoms (fractional coordinates):
Ta 0.117 0.625 0.992
Ta 0.375 0.367 0.492
Ta 0.633 0.125 0.008
Ta 0.875 0.883 0.508
Al 0.000 0.000 0.000
Al 0.750 0.250 0.500
Cl 0.250 0.750 0.500
Cl 0.500 0.500 0.000

=====

# 2
First-principles (PBE-GGA) data for a relaxed structure of TaAl2Cl, as listed in Alexandria via LeMat-Bulk.

Density of states at the Fermi level (states/eV per cell): 1.4
E_form (uncorrected) (meV/atom): -112
Uncorrected energy (eV per atom): -5.41

Lattice parameters (Å, degrees): 5.354 5.354 4.968 103.25 103.25 31.73
Atoms (fractional coordinates):
Ta 0.000 0.000 0.000
Al 0.264 0.264 0.865
Al 0.475 0.475 0.513
Cl 0.680 0.680 0.302

=====

# 3
First-principles (PBE-GGA) data for a relaxed structure of TaAlCl2, as listed in Alexandria via LeMat-Bulk.

Density of states at the Fermi level (states/eV per cell): 2.6
E_form (uncorrected) (meV/atom): -308
Uncorrected energy (eV per atom): -5.13

Lattice parameters (Å, degrees): 12.400 12.400 12.400 14.29 14.29 14.29
Atoms (fractional coordinates):
Ta 0.000 0.000 0.000
Al 0.500 0.500 0.500
Cl 0.284 0.284 0.284
Cl 0.716 0.716 0.716

=====

# 4
First-principles (PBE-GGA) data for a relaxed structure of TaAlCl2, as listed in Alexandria via LeMat-Bulk.

Density of states at the Fermi level (states/eV per cell): 1.0
E_form (uncorrected) (meV/atom): -199
Uncorrected energy (eV per atom): -5.02

Lattice parameters (Å, degrees): 5.017 4.926 4.926 36.27 90.00 90.00
Atoms (fractional coordinates):
Ta 0.000 0.000 0.000
Al 0.500 0.413 0.413
Cl 0.000 0.712 0.712
Cl 0.500 0.161 0.161

=====

# 5
First-principles (PBE-GGA) data for a relaxed structure of TaAlCl2, as listed in Alexandria via LeMat-Bulk.

Density of states at the Fermi level (states/eV per cell): 2.1
E_form (uncorrected) (meV/atom): 38
Uncorrected energy (eV per atom): -4.78

Lattice parameters (Å, degrees): 5.391 5.391 3.036 103.80 103.80 114.18
Atoms (fractional coordinates):
Ta 0.000 0.000 0.000
Al 0.500 0.500 0.000
Cl 0.000 0.500 0.000
Cl 0.500 0.000 0.000

=====

# 6
First-principles (PBE-GGA) data for a relaxed structure of TaAlCl2, as listed in Alexandria via LeMat-Bulk.

Density of states at the Fermi level (states/eV per cell): 2.2
E_form (uncorrected) (meV/atom): 654
Uncorrected energy (eV per atom): -4.17

Lattice parameters (Å, degrees): 4.844 4.844 4.844 60.00 60.00 60.00
Atoms (fractional coordinates):
Ta 0.000 0.000 0.000
Al 0.250 0.250 0.250
Cl 0.500 0.500 0.500
Cl 0.750 0.750 0.750